[1]
# TaFe, optimized geometry, DFT GGA-PBE
# - calculated volume (Å³/f.u.) = 29.81
# - energy relative to the elements (eV/f.u.) = 0.22
data_TaFe
_chemical_formula_sum 'Ta8 Fe8'
_cell_length_a 7.629
_cell_length_b 7.629
_cell_length_c 4.098
_cell_angle_alpha 90.00
_cell_angle_beta 90.00
_cell_angle_gamma 90.00
_space_group_name_H-M_alt 'I 4/m m m'
_space_group_IT_number 139
_space_group_name_Hall '-I 4 2'
loop_
_atom_site_label
_atom_site_fract_x
_atom_site_fract_y
_atom_site_fract_z
Ta1 0.000 0.298 0.000
Fe1 0.158 0.158 0.500

---

[2]
# TbTa2Fe9, optimized geometry, DFT GGA-PBE
# - calculated volume (Å³/f.u.) = 163.62
# - energy relative to the elements (eV/f.u.) = -1.62
data_TbTa2Fe9
_chemical_formula_sum 'Tb3 Ta6 Fe27'
_cell_length_a 4.9015
_cell_length_b 4.9015
_cell_length_c 23.5923
_cell_angle_alpha 90.00
_cell_angle_beta 90.00
_cell_angle_gamma 120.00
_space_group_name_H-M_alt 'R -3 m'
_space_group_IT_number 166
_space_group_name_Hall '-R 3 2"'
loop_
_atom_site_label
_atom_site_fract_x
_atom_site_fract_y
_atom_site_fract_z
Tb1 0.0000 0.0000 0.0000
Ta1 0.0000 0.0000 0.1441
Fe1 0.0000 0.0000 0.3335
Fe2 0.0000 0.0000 0.5000
Fe3 0.0043 0.5021 0.9133

---

[3]
# Ta2FeTc, optimized geometry, DFT GGA-PBE
# - calculated volume (Å³/f.u.) = 61.88
# - energy relative to the elements (eV/f.u.) = 0.19
data_Ta2FeTc
_chemical_formula_sum 'Ta2 Fe1 Tc1'
_cell_length_a 2.751
_cell_length_b 2.751
_cell_length_c 8.175
_cell_angle_alpha 90.00
_cell_angle_beta 90.00
_cell_angle_gamma 90.00
_space_group_name_H-M_alt 'P 4 m m'
_space_group_IT_number 99
loop_
_space_group_symop_operation_xyz
'x,y,z'
'-y,x,z'
'-x,-y,z'
'y,-x,z'
'-x,y,z'
'y,x,z'
'x,-y,z'
'-y,-x,z'
loop_
_atom_site_label
_atom_site_fract_x
_atom_site_fract_y
_atom_site_fract_z
Ta1 0.000 0.000 0.000
Ta2 0.500 0.500 0.293
Fe1 0.500 0.500 0.761
Tc1 0.000 0.000 0.571

---

[4]
# Ta4FeTc3, optimized geometry, DFT GGA-PBE
# - calculated volume (Å³/f.u.) = 126.39
# - energy relative to the elements (eV/f.u.) = -3.10
data_Ta4FeTc3
_chemical_formula_sum 'Ta4 Fe1 Tc3'
_cell_length_a 3.179
_cell_length_b 4.466
_cell_length_c 8.903
_cell_angle_alpha 90.00
_cell_angle_beta 90.00
_cell_angle_gamma 90.00
_space_group_name_H-M_alt 'P m m m'
_space_group_IT_number 47
loop_
_space_group_symop_operation_xyz
'x,y,z'
'-x,-y,-z'
'-x,-y,z'
'x,y,-z'
'x,-y,-z'
'-x,y,z'
'-x,y,-z'
'x,-y,z'
loop_
_atom_site_label
_atom_site_fract_x
_atom_site_fract_y
_atom_site_fract_z
Ta1 0.000 0.000 0.000
Ta2 0.000 0.000 0.500
Ta3 0.000 0.500 0.245
Fe1 0.500 0.500 0.000
Tc1 0.500 0.000 0.246
Tc2 0.500 0.500 0.500

---

[5]
# TaFeTc2, optimized geometry, DFT GGA-PBE
# - calculated volume (Å³/f.u.) = 59.53
# - energy relative to the elements (eV/f.u.) = 0.05
data_TaFeTc2
_chemical_formula_sum 'Ta1 Fe1 Tc2'
_cell_length_a 2.719
_cell_length_b 4.333
_cell_length_c 5.155
_cell_angle_alpha 90.00
_cell_angle_beta 101.40
_cell_angle_gamma 90.00
_space_group_name_H-M_alt 'P 1 m 1'
_space_group_IT_number 6
loop_
_space_group_symop_operation_xyz
'x,y,z'
'x,-y,z'
loop_
_atom_site_label
_atom_site_fract_x
_atom_site_fract_y
_atom_site_fract_z
Ta1 0.000 0.000 0.000
Fe1 0.256 0.500 0.755
Tc1 0.492 0.000 0.506
Tc2 0.767 0.500 0.269

---

[6]
# TaFeTc3, optimized geometry, DFT GGA-PBE
# - calculated volume (Å³/f.u.) = 101.17
# - energy relative to the elements (eV/f.u.) = 11.09
# - excess energy over the best structure of this formula in the dataset (eV per atom) = 1.184
data_TaFeTc3
_chemical_formula_sum 'Ta1 Fe1 Tc3'
_cell_length_a 4.660
_cell_length_b 4.660
_cell_length_c 4.660
_cell_angle_alpha 90.00
_cell_angle_beta 90.00
_cell_angle_gamma 90.00
_space_group_name_H-M_alt 'P m -3 m'
_space_group_IT_number 221
_space_group_name_Hall '-P 4 2 3'
loop_
_atom_site_label
_atom_site_fract_x
_atom_site_fract_y
_atom_site_fract_z
Ta1 0.000 0.000 0.000
Fe1 0.500 0.500 0.500
Tc1 0.000 0.000 0.500